# Na3ThTl4

Na3ThTl4 after structural relaxation (PBE-GGA, Alexandria via LeMat-Bulk).

Values from the calculation:
E = -2.70 eV per atom
crystal system = orthorhombic
theoretical density = 8.12 g/cm3

Lattice parameters (Å, degrees): 3.524 5.712 11.366 90.00 90.00 90.00
Element x y z (fractional)
Tl (0.000, 0.000, 0.000)
Tl (0.000, 0.500, 0.746)
Tl (0.000, 0.500, 0.254)
Tl (0.000, 0.000, 0.500)
Na (0.500, 0.000, 0.749)
Na (0.500, 0.000, 0.251)
Na (0.500, 0.500, 0.500)
Th (0.500, 0.500, 0.000)